A crystal of Zr3Rh5 relaxed with PBEsol, computed with meta-GGA SCAN.

CIF file:
```
data_Zr3Rh5
_chemical_formula_sum 'Zr12 Rh20'
_cell_length_a 8.647
_cell_length_b 6.920
_cell_length_c 8.584
_cell_angle_alpha 90.00
_cell_angle_beta 90.00
_cell_angle_gamma 90.00
_space_group_name_H-M_alt 'C m c m'
_space_group_IT_number 63
_space_group_name_Hall '-C 2c 2'
loop_
_atom_site_label
_atom_site_fract_x
_atom_site_fract_y
_atom_site_fract_z
Zr1 0.000 0.065 0.250
Zr2 0.209 0.500 0.000
Rh1 0.000 0.212 0.526
Rh2 0.000 0.486 0.250
Rh3 0.234 0.240 0.750
```

Computed properties:
- density of states at the Fermi level (states/eV per cell) = 15.33
- ΔE_f (eV/atom) = -0.92
- DFT total energy (eV/atom) = -33.54